The following is a PBE calculation of a relaxed Ce6GeRu3 crystal, from Alexandria.

abc: 4.0702 11.2195 11.7100
angles: 107.38 90.00 90.00
Each line ends with the local moment (μB).
Positions (direct):
Ce1 0.7500 0.4712 0.6097  0.35
Ce2 0.2500 0.5288 0.3903  0.35
Ce3 0.7500 0.9144 0.0960  0.43
Ce4 0.2500 0.0856 0.9040  0.43
Ce5 0.7500 0.3893 0.0550  0.28
Ce6 0.2500 0.6107 0.9450  0.28
Ce7 0.7500 0.7272 0.2610  0.52
Ce8 0.2500 0.2728 0.7390  0.52
Ce9 0.7500 0.1263 0.4619  0.58
Ce10 0.2500 0.8737 0.5381  0.58
Ce11 0.7500 0.7882 0.7581  0.47
Ce12 0.2500 0.2118 0.2419  0.47
Ge1 0.7500 0.0509 0.6978  -0.03
Ge2 0.2500 0.9491 0.3022  -0.03
Ru1 0.7500 0.4567 0.8349  -0.07
Ru2 0.2500 0.5433 0.1651  -0.07
Ru3 0.7500 0.6857 0.4963  -0.08
Ru4 0.2500 0.3143 0.5037  -0.08
Ru5 0.7500 0.1580 0.0866  -0.08
Ru6 0.2500 0.8420 0.9134  -0.08

Calculated volume   510.33 Å³ per cell
Size of the total moment   5.99 μB/cell
DOS(E_F)   45.762 states/eV per cell
ΔH_f (0 K)   -0.33 eV/atom